# 1
! NdDy2Sc (PBE, optimized geometry); values from VASP
! D(E_F) ... 11.2 states/eV per cell
! Energy ... -5.03 eV per atom
! Distance to the lowest polymorph of the same formula ... 1 kJ/mol of formula units
! DFT formation energy ... 0.05 eV per atom
! Symmetry ... Cmcm, No. 63
! Volume ... 243.41 Å³/cell
! Total magnetic moment ... 0.00 μB/f.u.
&SYSTEM
  ibrav = 0, nat = 8, ntyp = 3
/
ATOMIC_SPECIES
Nd 144.24 Nd.upf
Dy 162.50 Dy.upf
Sc 44.96 Sc.upf
CELL_PARAMETERS angstrom
4.969 -4.977 0.000
4.969 4.977 0.000
0.000 0.000 4.921
ATOMIC_POSITIONS crystal
Nd 0.128 0.872 0.750
Nd 0.872 0.128 0.250
Dy 0.132 0.380 0.750
Dy 0.380 0.132 0.250
Dy 0.620 0.868 0.750
Dy 0.868 0.620 0.250
Sc 0.381 0.619 0.250
Sc 0.619 0.381 0.750

***

# 2
! Tb5Pm2ErTm (PBE, optimized geometry); values from VASP
! D(E_F) ... 25.2 states/eV per cell
! Energy ... -4.35 eV per atom
! DFT formation energy ... 0.28 eV per atom
! Symmetry ... I4/mcm, No. 140
! Volume ... 583.23 Å³/cell
! Total magnetic moment ... 0.00 μB/f.u.
&SYSTEM
  ibrav = 0, nat = 18, ntyp = 4
/
ATOMIC_SPECIES
Tb 158.93 Tb.upf
Pm 145.00 Pm.upf
Er 167.26 Er.upf
Tm 168.93 Tm.upf
CELL_PARAMETERS angstrom
-4.273 4.273 7.987
4.273 -4.273 7.987
4.273 4.273 -7.987
ATOMIC_POSITIONS crystal
Tb 0.000 0.000 0.000
Tb 0.073 0.573 0.929
Tb 0.144 0.073 0.500
Tb 0.356 0.856 0.929
Tb 0.427 0.356 0.500
Tb 0.500 0.500 0.000
Tb 0.573 0.644 0.500
Tb 0.644 0.144 0.071
Tb 0.856 0.927 0.500
Tb 0.927 0.427 0.071
Pm 0.119 0.381 0.500
Pm 0.381 0.881 0.262
Pm 0.619 0.119 0.738
Pm 0.881 0.619 0.500
Er 0.250 0.250 0.000
Er 0.750 0.750 0.000
Tm 0.250 0.750 0.500
Tm 0.750 0.250 0.500

***

# 3
! KBaCr2 (PBE, optimized geometry); values from VASP
! D(E_F) ... 3.1 states/eV per cell
! Energy ... -4.49 eV per atom
! Distance to the lowest polymorph of the same formula ... 143 kJ/mol of formula units
! DFT formation energy ... 1.07 eV per atom
! Symmetry ... Fm-3m, No. 225
! Volume ... 149.24 Å³/cell
! Total magnetic moment ... 10.03 μB/f.u.
&SYSTEM
  ibrav = 0, nat = 4, ntyp = 3
/
ATOMIC_SPECIES
K 39.10 K.upf
Ba 137.33 Ba.upf
Cr 52.00 Cr.upf
CELL_PARAMETERS angstrom
0.000 4.210 4.210
4.210 0.000 4.210
4.210 4.210 0.000
ATOMIC_POSITIONS crystal
K 0.000 0.000 0.000
Ba 0.500 0.500 0.500
Cr 0.250 0.250 0.250
Cr 0.750 0.750 0.750

***

# 4
! PmHgGePd (PBE, optimized geometry); values from VASP
! D(E_F) ... 2.4 states/eV per cell
! Energy ... -4.16 eV per atom
! DFT formation energy ... -0.45 eV per atom
! Symmetry ... F-43m, No. 216
! Volume ... 84.90 Å³/cell
! Total magnetic moment ... 0.00 μB/f.u.
&SYSTEM
  ibrav = 0, nat = 4, ntyp = 4
/
ATOMIC_SPECIES
Pm 145.00 Pm.upf
Hg 200.59 Hg.upf
Ge 72.64 Ge.upf
Pd 106.42 Pd.upf
CELL_PARAMETERS angstrom
0.000 3.488 3.488
3.488 0.000 3.488
3.488 3.488 0.000
ATOMIC_POSITIONS crystal
Pm 0.000 0.000 0.000
Hg 0.500 0.500 0.500
Ge 0.250 0.250 0.250
Pd 0.750 0.750 0.750

***

# 5
! Zr2Pd2N (PBE, optimized geometry); values from VASP
! D(E_F) ... 6.9 states/eV per cell
! Energy ... -6.90 eV per atom
! Distance to the lowest polymorph of the same formula ... 0 kJ/mol of formula units
! ΔE_f (raw) ... 0.259 eV per atom
! Symmetry ... P4/mbm, No. 127
! Volume ... 175.81 Å³/cell
! Total magnetic moment ... 0.00 μB/f.u.
&SYSTEM
  ibrav = 0, nat = 10, ntyp = 3
/
ATOMIC_SPECIES
Zr 91.22 Zr.upf
Pd 106.42 Pd.upf
N 14.01 N.upf
CELL_PARAMETERS angstrom
6.967 0.000 0.000
0.000 6.967 0.000
0.000 0.000 3.622
ATOMIC_POSITIONS crystal
Zr 0.173 0.327 0.000
Zr 0.327 0.827 0.000
Zr 0.673 0.173 0.000
Zr 0.827 0.673 0.000
Pd 0.134 0.634 0.500
Pd 0.366 0.134 0.500
Pd 0.634 0.866 0.500
Pd 0.866 0.366 0.500
N 0.000 0.000 0.500
N 0.500 0.500 0.500

***

# 6
! PRh2W (PBE, optimized geometry); values from VASP
! D(E_F) ... 3.5 states/eV per cell
! Energy ... -8.44 eV per atom
! DFT formation energy ... -0.17 eV per atom
! Symmetry ... R-3m, No. 166
! Volume ... 56.80 Å³/cell
! Total magnetic moment ... 0.00 μB/f.u.
&SYSTEM
  ibrav = 0, nat = 4, ntyp = 3
/
ATOMIC_SPECIES
P 30.97 P.upf
Rh 102.91 Rh.upf
W 183.84 W.upf
CELL_PARAMETERS angstrom
1.406 0.812 8.290
-1.406 0.812 8.290
0.000 -1.624 8.290
ATOMIC_POSITIONS crystal
P 0.000 0.000 0.000
Rh 0.259 0.259 0.259
Rh 0.741 0.741 0.741
W 0.500 0.500 0.500

***

# 7
! ThTlAu (PBE, optimized geometry); values from VASP
! D(E_F) ... 2.7 states/eV per cell
! Energy ... -4.75 eV per atom
! DFT formation energy ... -0.39 eV per atom
! Symmetry ... C2/m, No. 12
! Volume ... 158.39 Å³/cell
! Total magnetic moment ... 0.00 μB/f.u.
&SYSTEM
  ibrav = 0, nat = 6, ntyp = 3
/
ATOMIC_SPECIES
Th 232.04 Th.upf
Tl 204.38 Tl.upf
Au 196.97 Au.upf
CELL_PARAMETERS angstrom
6.271 -2.404 0.000
6.271 2.404 0.000
-0.269 0.000 5.254
ATOMIC_POSITIONS crystal
Th 0.119 0.119 0.277
Th 0.881 0.881 0.723
Tl 0.419 0.419 0.237
Tl 0.581 0.581 0.763
Au 0.239 0.239 0.783
Au 0.761 0.761 0.217

***

# 8
! RbBe3As (PBE, optimized geometry); values from VASP
! D(E_F) ... 4.2 states/eV per cell
! Energy ... -0.81 eV per atom
! Distance to the lowest polymorph of the same formula ... 722 kJ/mol of formula units
! DFT formation energy ... 2.54 eV per atom
! Symmetry ... Pm-3m, No. 221
! Volume ... 135.77 Å³/cell
! Total magnetic moment ... 0.00 μB/f.u.
&SYSTEM
  ibrav = 0, nat = 5, ntyp = 3
/
ATOMIC_SPECIES
Rb 85.47 Rb.upf
Be 9.01 Be.upf
As 74.92 As.upf
CELL_PARAMETERS angstrom
5.140 0.000 0.000
0.000 5.140 0.000
0.000 0.000 5.140
ATOMIC_POSITIONS crystal
Rb 0.000 0.000 0.000
Be 0.000 0.000 0.500
Be 0.000 0.500 0.000
Be 0.500 0.000 0.000
As 0.500 0.500 0.500

***

# 9
! Na4Er3SbSe8 (PBE, optimized geometry); values from VASP
! D(E_F) ... 0.0 states/eV per cell
! Energy ... -4.62 eV per atom
! ΔE_f (raw) ... -1.437 eV per atom
! Symmetry ... R-3m, No. 166
! Volume ... 414.29 Å³/cell
! Total magnetic moment ... 0.00 μB/f.u.
&SYSTEM
  ibrav = 0, nat = 16, ntyp = 4
/
ATOMIC_SPECIES
Na 22.99 Na.upf
Er 167.26 Er.upf
Sb 121.76 Sb.upf
Se 78.96 Se.upf
CELL_PARAMETERS angstrom
4.133 2.386 7.001
-4.133 2.386 7.001
0.000 -4.773 7.001
ATOMIC_POSITIONS crystal
Na 0.000 0.000 0.000
Na 0.000 0.500 0.500
Na 0.500 0.000 0.500
Na 0.500 0.500 0.000
Er 0.000 0.000 0.500
Er 0.000 0.500 0.000
Er 0.500 0.000 0.000
Sb 0.500 0.500 0.500
Se 0.240 0.744 0.744
Se 0.242 0.242 0.242
Se 0.256 0.256 0.760
Se 0.256 0.760 0.256
Se 0.744 0.240 0.744
Se 0.744 0.744 0.240
Se 0.758 0.758 0.758
Se 0.760 0.256 0.256

***

# 10
! AcNdIr2 (PBE, optimized geometry); values from VASP
! D(E_F) ... 2.8 states/eV per cell
! Energy ... -7.11 eV per atom
! Distance to the lowest polymorph of the same formula ... 49 kJ/mol of formula units
! DFT formation energy ... -0.46 eV per atom
! Symmetry ... P4/mmm, No. 123
! Volume ... 95.69 Å³/cell
! Total magnetic moment ... 0.26 μB/f.u.
&SYSTEM
  ibrav = 0, nat = 4, ntyp = 3
/
ATOMIC_SPECIES
Ac 227.00 Ac.upf
Nd 144.24 Nd.upf
Ir 192.22 Ir.upf
CELL_PARAMETERS angstrom
3.590 0.000 0.000
0.000 3.590 0.000
0.000 0.000 7.424
ATOMIC_POSITIONS crystal
Ac 0.000 0.000 0.000
Nd 0.000 0.000 0.500
Ir 0.500 0.500 0.267
Ir 0.500 0.500 0.733

***

# 11
! SrAgSb (PBE, optimized geometry); values from VASP
! D(E_F) ... 3.6 states/eV per cell
! Energy ... -3.03 eV per atom
! ΔE_f (raw) ... -0.141 eV per atom
! Symmetry ... P4/nmm, No. 129
! Volume ... 180.86 Å³/cell
! Total magnetic moment ... 0.00 μB/f.u.
&SYSTEM
  ibrav = 0, nat = 6, ntyp = 3
/
ATOMIC_SPECIES
Sr 87.62 Sr.upf
Ag 107.87 Ag.upf
Sb 121.76 Sb.upf
CELL_PARAMETERS angstrom
4.871 0.000 0.000
0.000 4.871 0.000
0.000 0.000 7.624
ATOMIC_POSITIONS crystal
Sr 0.250 0.750 0.000
Sr 0.750 0.250 0.000
Ag 0.250 0.250 0.326
Ag 0.750 0.750 0.674
Sb 0.250 0.250 0.697
Sb 0.750 0.750 0.303

***

# 12
! SrGa3Ir (PBE, optimized geometry); values from VASP
! D(E_F) ... 1.2 states/eV per cell
! Energy ... -4.31 eV per atom
! Distance to the lowest polymorph of the same formula ... 67 kJ/mol of formula units
! DFT formation energy ... -0.38 eV per atom
! Symmetry ... Pm-3m, No. 221
! Volume ... 114.39 Å³/cell
! Total magnetic moment ... 0.00 μB/f.u.
&SYSTEM
  ibrav = 0, nat = 5, ntyp = 3
/
ATOMIC_SPECIES
Sr 87.62 Sr.upf
Ga 69.72 Ga.upf
Ir 192.22 Ir.upf
CELL_PARAMETERS angstrom
4.854 0.000 0.000
0.000 4.854 0.000
0.000 0.000 4.854
ATOMIC_POSITIONS crystal
Sr 0.000 0.000 0.000
Ga 0.000 0.500 0.500
Ga 0.500 0.000 0.500
Ga 0.500 0.500 0.000
Ir 0.500 0.500 0.500

***

# 13
! K4LiPa3Te8 (PBE, optimized geometry); values from VASP
! D(E_F) ... 18.2 states/eV per cell
! Energy ... -4.72 eV per atom
! ΔE_f (raw) ... -0.978 eV per atom
! Symmetry ... R-3m, No. 166
! Volume ... 577.53 Å³/cell
! Total magnetic moment ... 4.01 μB/f.u.
&SYSTEM
  ibrav = 0, nat = 16, ntyp = 4
/
ATOMIC_SPECIES
K 39.10 K.upf
Li 6.94 Li.upf
Pa 231.04 Pa.upf
Te 127.60 Te.upf
CELL_PARAMETERS angstrom
4.490 2.592 8.270
-4.490 2.592 8.270
0.000 -5.184 8.270
ATOMIC_POSITIONS crystal
K 0.000 0.000 0.000
K 0.000 0.500 0.500
K 0.500 0.000 0.500
K 0.500 0.500 0.000
Li 0.500 0.500 0.500
Pa 0.000 0.000 0.500
Pa 0.000 0.500 0.000
Pa 0.500 0.000 0.000
Te 0.234 0.737 0.737
Te 0.238 0.238 0.238
Te 0.263 0.263 0.766
Te 0.263 0.766 0.263
Te 0.737 0.234 0.737
Te 0.737 0.737 0.234
Te 0.762 0.762 0.762
Te 0.766 0.263 0.263

***

# 14
! PrGdPdPt (PBE, optimized geometry); values from VASP
! D(E_F) ... 3.3 states/eV per cell
! Energy ... -8.46 eV per atom
! DFT formation energy ... -0.93 eV per atom
! Symmetry ... F-43m, No. 216
! Volume ... 92.31 Å³/cell
! Total magnetic moment ... 7.22 μB/f.u.
&SYSTEM
  ibrav = 0, nat = 4, ntyp = 4
/
ATOMIC_SPECIES
Pr 140.91 Pr.upf
Gd 157.25 Gd.upf
Pd 106.42 Pd.upf
Pt 195.08 Pt.upf
CELL_PARAMETERS angstrom
0.000 3.587 3.587
3.587 0.000 3.587
3.587 3.587 0.000
ATOMIC_POSITIONS crystal
Pr 0.000 0.000 0.000
Gd 0.500 0.500 0.500
Pd 0.250 0.250 0.250
Pt 0.750 0.750 0.750

***

# 15
! Rb2LaIn2 (PBE, optimized geometry); values from VASP
! D(E_F) ... 15.1 states/eV per cell
! Energy ... -2.36 eV per atom
! DFT formation energy ... 0.11 eV per atom
! Symmetry ... P4/mbm, No. 127
! Volume ... 447.76 Å³/cell
! Total magnetic moment ... 0.91 μB/f.u.
&SYSTEM
  ibrav = 0, nat = 10, ntyp = 3
/
ATOMIC_SPECIES
Rb 85.47 Rb.upf
La 138.91 La.upf
In 114.82 In.upf
CELL_PARAMETERS angstrom
8.352 0.000 0.000
0.000 8.352 0.000
0.000 0.000 6.418
ATOMIC_POSITIONS crystal
Rb 0.173 0.327 0.000
Rb 0.327 0.827 0.000
Rb 0.673 0.173 0.000
Rb 0.827 0.673 0.000
La 0.000 0.000 0.500
La 0.500 0.500 0.500
In 0.124 0.624 0.500
In 0.376 0.124 0.500
In 0.624 0.876 0.500
In 0.876 0.376 0.500

***

# 16
! SmTlZn (PBE, optimized geometry); values from VASP
! D(E_F) ... 3.6 states/eV per cell
! Energy ... -3.12 eV per atom
! DFT formation energy ... -0.33 eV per atom
! Symmetry ... P6_3/mmc, No. 194
! Volume ... 146.18 Å³/cell
! Total magnetic moment ... 0.00 μB/f.u.
&SYSTEM
  ibrav = 0, nat = 6, ntyp = 3
/
ATOMIC_SPECIES
Sm 150.36 Sm.upf
Tl 204.38 Tl.upf
Zn 65.41 Zn.upf
CELL_PARAMETERS angstrom
4.749 0.000 0.000
-2.374 4.113 0.000
0.000 0.000 7.485
ATOMIC_POSITIONS crystal
Sm 0.000 0.000 0.000
Sm 0.000 0.000 0.500
Tl 0.333 0.667 0.250
Tl 0.667 0.333 0.750
Zn 0.333 0.667 0.750
Zn 0.667 0.333 0.250

***

# 17
! KMg2I (PBE, optimized geometry); values from VASP
! D(E_F) ... 0.4 states/eV per cell
! Energy ... -1.63 eV per atom
! Distance to the lowest polymorph of the same formula ... 0 kJ/mol of formula units
! ΔE_f (raw) ... -0.171 eV per atom
! Symmetry ... I-42d, No. 122
! Volume ... 315.20 Å³/cell
! Total magnetic moment ... 0.00 μB/f.u.
&SYSTEM
  ibrav = 0, nat = 8, ntyp = 3
/
ATOMIC_SPECIES
K 39.10 K.upf
Mg 24.30 Mg.upf
I 126.90 I.upf
CELL_PARAMETERS angstrom
-4.912 4.912 3.266
4.912 -4.912 3.266
4.912 4.912 -3.266
ATOMIC_POSITIONS crystal
K 0.000 0.000 0.000
K 0.750 0.250 0.500
Mg 0.157 0.625 0.032
Mg 0.375 0.407 0.532
Mg 0.593 0.125 0.968
Mg 0.875 0.843 0.468
I 0.250 0.750 0.500
I 0.500 0.500 0.000

***

# 18
! HPd2Rh (PBE, optimized geometry); values from VASP
! D(E_F) ... 3.5 states/eV per cell
! Energy ... -5.23 eV per atom
! Distance to the lowest polymorph of the same formula ... 0 kJ/mol of formula units
! Symmetry ... R3m, No. 160
! Volume ... 47.45 Å³/cell
! Total magnetic moment ... 1.33 μB/f.u.
&SYSTEM
  ibrav = 0, nat = 4, ntyp = 3
/
ATOMIC_SPECIES
H 1.01 H.upf
Pd 106.42 Pd.upf
Rh 102.91 Rh.upf
CELL_PARAMETERS angstrom
1.403 0.810 6.961
-1.403 0.810 6.961
0.000 -1.620 6.961
ATOMIC_POSITIONS crystal
H 0.000 0.000 0.000
Pd 0.395 0.395 0.395
Pd 0.611 0.611 0.611
Rh 0.169 0.169 0.169

***

# 19
! Li2TlRhO4 (PBE, optimized geometry); values from VASP
! D(E_F) ... 2.0 states/eV per cell
! Energy ... -5.17 eV per atom
! ΔE_f (raw) ... -0.994 eV per atom
! Symmetry ... I-42m, No. 121
! Volume ... 109.83 Å³/cell
! Total magnetic moment ... 0.00 μB/f.u.
&SYSTEM
  ibrav = 0, nat = 8, ntyp = 4
/
ATOMIC_SPECIES
Li 6.94 Li.upf
Tl 204.38 Tl.upf
Rh 102.91 Rh.upf
O 16.00 O.upf
CELL_PARAMETERS angstrom
-2.693 2.693 3.785
2.693 -2.693 3.785
2.693 2.693 -3.785
ATOMIC_POSITIONS crystal
Li 0.250 0.750 0.500
Li 0.750 0.250 0.500
Tl 0.000 0.000 0.000
Rh 0.500 0.500 0.000
O 0.150 0.150 0.629
O 0.479 0.850 0.000
O 0.521 0.521 0.371
O 0.850 0.479 0.000

***

# 20
! KSb (PBE, optimized geometry); values from VASP
! D(E_F) ... 1.0 states/eV per cell
! Energy ... -2.98 eV per atom
! Distance to the lowest polymorph of the same formula ... 13 kJ/mol of formula units
! ΔE_f (raw) ... -0.374 eV per atom
! Symmetry ... Imm2, No. 44
! Volume ... 160.85 Å³/cell
! Total magnetic moment ... 0.00 μB/f.u.
&SYSTEM
  ibrav = 0, nat = 4, ntyp = 2
/
ATOMIC_SPECIES
K 39.10 K.upf
Sb 121.76 Sb.upf
CELL_PARAMETERS angstrom
-2.185 5.407 3.403
2.185 -5.407 3.403
2.185 5.407 -3.403
ATOMIC_POSITIONS crystal
K 0.210 0.000 0.210
K 0.790 0.000 0.790
Sb 0.258 0.758 0.500
Sb 0.542 0.542 0.000

***

# 21
! Dy2TmRh9 (PBE, optimized geometry); values from VASP
! D(E_F) ... 12.3 states/eV per cell
! Energy ... -7.22 eV per atom
! DFT formation energy ... -0.57 eV per atom
! Symmetry ... R-3m, No. 166
! Volume ... 209.01 Å³/cell
! Total magnetic moment ... 0.00 μB/f.u.
&SYSTEM
  ibrav = 0, nat = 12, ntyp = 3
/
ATOMIC_SPECIES
Dy 162.50 Dy.upf
Tm 168.93 Tm.upf
Rh 102.91 Rh.upf
CELL_PARAMETERS angstrom
2.621 1.513 8.786
-2.621 1.513 8.786
0.000 -3.026 8.786
ATOMIC_POSITIONS crystal
Dy 0.139 0.139 0.139
Dy 0.861 0.861 0.861
Tm 0.000 0.000 0.000
Rh 0.082 0.583 0.583
Rh 0.333 0.333 0.333
Rh 0.417 0.417 0.918
Rh 0.417 0.918 0.417
Rh 0.500 0.500 0.500
Rh 0.583 0.082 0.583
Rh 0.583 0.583 0.082
Rh 0.667 0.667 0.667
Rh 0.918 0.417 0.417

***

# 22
! Na2MgTl4Pb2 (PBE, optimized geometry); values from VASP
! D(E_F) ... 2.9 states/eV per cell
! Energy ... -2.43 eV per atom
! DFT formation energy ... -0.08 eV per atom
! Symmetry ... C2/m, No. 12
! Volume ... 258.53 Å³/cell
! Total magnetic moment ... 0.00 μB/f.u.
&SYSTEM
  ibrav = 0, nat = 9, ntyp = 4
/
ATOMIC_SPECIES
Na 22.99 Na.upf
Mg 24.30 Mg.upf
Tl 204.38 Tl.upf
Pb 207.20 Pb.upf
CELL_PARAMETERS angstrom
8.389 -1.823 0.000
8.389 1.823 0.000
-2.206 0.000 8.452
ATOMIC_POSITIONS crystal
Na 0.118 0.118 0.130
Na 0.882 0.882 0.870
Mg 0.000 0.000 0.500
Tl 0.208 0.208 0.811
Tl 0.463 0.463 0.194
Tl 0.537 0.537 0.806
Tl 0.792 0.792 0.189
Pb 0.343 0.343 0.526
Pb 0.657 0.657 0.474